VASP calculation (PBE-GGA) on an optimized crystal structure of TaTlCl2.

## Properties
ρ: 9.20 g/cm3
spin magnetization: 0.0 μB/cell
ΔE_f (raw): 2.2 eV/f.u.
VASP energy: -3.931 eV per atom
volume: 20.58 Å³ per atom
offset from the most stable computed form: 1058 meV per atom
symmetry: Fm-3m

Unit cell a=4.883 b=4.883 c=4.883 alpha=60.00 beta=60.00 gamma=60.00
Positions (direct):
Tl (0.500, 0.500, 0.500)
Cl (0.750, 0.750, 0.750)
Cl (0.250, 0.250, 0.250)
Ta (0.000, 0.000, 0.000)